Material: AgBPb
Method: DFT, PBE
State: relaxed

```
6
Lattice="6.510 -0.029 -0.013 -0.056 5.784 -0.391 0.017 0.252 3.151" Properties=species:S:1:pos:R:3 pbc="T T T"
Ag 0.858 5.685 0.467
Pb 5.534 3.373 2.208
Pb 2.367 2.971 0.670
B 5.228 0.620 0.783
Ag 3.226 5.809 2.032
B 5.492 0.710 2.360
```

Output
DOS at the Fermi energy (states/eV/atom): 0.200
Energy of formation from the pure elements (eV/atom): 0.322
Magnetic moment (μB per atom): 0.000

Material: AgBPb2
Method: DFT, PBE
State: relaxed

```
8
Lattice="-2.922 0.871 5.675 -0.969 -6.351 0.475 2.475 -3.239 5.428" Properties=species:S:1:pos:R:3 pbc="T T T"
Pb 0.333 -4.906 6.408
Pb -1.134 -1.117 4.585
Ag -1.196 -2.554 7.088
Ag 0.000 0.000 0.000
Pb -0.547 -4.612 2.741
B -0.220 -6.165 4.489
B -1.946 -2.740 3.075
Pb -1.484 -6.802 9.420
```

Output
DOS at the Fermi energy (states/eV/atom): 0.299
Energy of formation from the pure elements (eV/atom): 0.756
Magnetic moment (μB per atom): 0.000

Material: AgBPb
Method: DFT, PBE
State: relaxed

```
6
Lattice="-1.434 3.490 -4.441 -5.068 -1.028 -3.309 -0.623 2.272 3.758" Properties=species:S:1:pos:R:3 pbc="T T T"
B -2.360 4.598 -1.860
Pb -1.520 1.387 -0.254
Ag -3.146 1.799 -3.752
B -3.145 3.235 -2.066
Ag -4.609 1.635 -1.376
Pb -5.943 4.342 -2.721
```

Output
DOS at the Fermi energy (states/eV/atom): 0.416
Energy of formation from the pure elements (eV/atom): 0.513
Magnetic moment (μB per atom): 0.000